#A
This record from the Alexandria database describes a relaxed Ru2RhBr crystal. The functional is GGA-PBE.

As for the crystal system: orthorhombic. As for the density of states at the Fermi level: 1.65 states/eV per atom.

The space group is Cmmm (No. 65) and the conventional cell measures 5.947, 7.112 and 2.872 Å, with angles of 90.00, 90.00 and 90.00 degrees. The inequivalent atoms are Ru at (0.250, 0.250, 0.000), Rh at (0.000, 0.000, 0.500) and Br at (0.000, 0.500, 0.500).



#B
This record from the Alexandria database describes a relaxed Ru2RhBr crystal. The functional is GGA-PBE.

As for the crystal system: cubic. As for the density of states at the Fermi level: 1.10 states/eV per atom.

The space group is Fm-3m (No. 225) and the conventional cell measures 6.265, 6.265 and 6.265 Å, with angles of 90.00, 90.00 and 90.00 degrees. The inequivalent atoms are Ru at (0.250, 0.250, 0.250), Rh at (0.000, 0.000, 0.000) and Br at (0.000, 0.000, 0.500).



#C
This record from the Alexandria database describes a relaxed Ru2RhBr crystal. The functional is GGA-PBE.

As for the crystal system: tetragonal. As for the density of states at the Fermi level: 1.17 states/eV per atom.

The space group is I4/mmm (No. 139) and the conventional cell measures 4.102, 4.102 and 7.211 Å, with angles of 90.00, 90.00 and 90.00 degrees. The inequivalent atoms are Ru at (0.000, 0.500, 0.250), Rh at (0.000, 0.000, 0.000) and Br at (0.000, 0.000, 0.500).



#D
This record from the Alexandria database describes a relaxed Ru2RhBr crystal. The functional is GGA-PBE.

As for the crystal system: tetragonal. As for the density of states at the Fermi level: 1.52 states/eV per atom.

The space group is P4/mmm (No. 123) and the conventional cell measures 2.899, 2.899 and 7.307 Å, with angles of 90.00, 90.00 and 90.00 degrees. The inequivalent atoms are Ru at (0.000, 0.000, 0.243), Rh at (0.500, 0.500, 0.000) and Br at (0.500, 0.500, 0.500).



Order from most stable to least stable according to the calculation: #D, #A, #C, #B



#A
This record from the Alexandria database describes a relaxed Ru2RhBr crystal. The functional is GGA-PBE.

As for the crystal system: trigonal. As for the density of states at the Fermi level: 1.45 states/eV per atom.

The space group is R-3m (No. 166, hexagonal axes) and the conventional cell measures 2.8835, 2.8835 and 25.5716 Å, with angles of 90.00, 90.00 and 120.00 degrees. The inequivalent atoms are Ru at (0.0000, 0.0000, 0.2503), Rh at (0.0000, 0.0000, 0.0000) and Br at (0.0000, 0.0000, 0.5000).



#B
This record from the Alexandria database describes a relaxed Ru2RhBr crystal. The functional is GGA-PBE.

As for the crystal system: orthorhombic. As for the density of states at the Fermi level: 1.43 states/eV per atom.

The space group is Imm2 (No. 44) and the conventional cell measures 2.891, 4.607 and 9.198 Å, with angles of 90.00, 90.00 and 90.00 degrees. The inequivalent atoms are Ru at (0.000, 0.000, 0.000), Ru at (0.000, 0.500, 0.252), Rh at (0.000, 0.000, 0.479) and Br at (0.000, 0.500, 0.734).



Order from most stable to least stable according to the calculation: #A, #B



#A
This record from the Alexandria database describes a relaxed Ru3RhBr crystal. The functional is GGA-PBE.

As for the crystal system: cubic. As for the density of states at the Fermi level: 1.66 states/eV per atom.

The space group is Pm-3m (No. 221) and the conventional cell measures 4.809, 4.809 and 4.809 Å, with angles of 90.00, 90.00 and 90.00 degrees. The inequivalent atoms are Ru at (0.000, 0.000, 0.500), Rh at (0.000, 0.000, 0.000) and Br at (0.500, 0.500, 0.500).



#B
This record from the Alexandria database describes a relaxed Ru3RhBr crystal. The functional is GGA-PBE.

As for the crystal system: cubic. As for the density of states at the Fermi level: 1.72 states/eV per atom.

The space group is Pm-3m (No. 221) and the conventional cell measures 4.491, 4.491 and 4.491 Å, with angles of 90.00, 90.00 and 90.00 degrees. The inequivalent atoms are Ru at (0.000, 0.000, 0.500), Rh at (0.500, 0.500, 0.500) and Br at (0.000, 0.000, 0.000).



Order from most stable to least stable according to the calculation: #B, #A



#A
This record from the Alexandria database describes a relaxed RhS2Br crystal. The functional is GGA-PBE.

As for the crystal system: trigonal. As for the density of states at the Fermi level: 0.77 states/eV per atom.

The space group is R-3m (No. 166, hexagonal axes) and the conventional cell measures 2.8143, 2.8143 and 37.4605 Å, with angles of 90.00, 90.00 and 120.00 degrees. The inequivalent atoms are Rh at (0.0000, 0.0000, 0.0000), S at (0.0000, 0.0000, 0.0602) and Br at (0.0000, 0.0000, 0.5000).



#B
This record from the Alexandria database describes a relaxed RhS2Br crystal. The functional is GGA-PBE.

As for the crystal system: trigonal. As for the density of states at the Fermi level: 0.00 states/eV per atom.

The space group is R-3m (No. 166, hexagonal axes) and the conventional cell measures 3.6672, 3.6672 and 21.4657 Å, with angles of 90.00, 90.00 and 120.00 degrees. The inequivalent atoms are Rh at (0.0000, 0.0000, 0.0000), S at (0.0000, 0.0000, 0.3854) and Br at (0.0000, 0.0000, 0.5000).



#C
This record from the Alexandria database describes a relaxed RhS2Br crystal. The functional is GGA-PBE.

As for the crystal system: tetragonal. As for the density of states at the Fermi level: 0.35 states/eV per atom.

The space group is I4/mcm (No. 140) and the conventional cell measures 8.840, 8.840 and 5.353 Å, with angles of 90.00, 90.00 and 90.00 degrees. The inequivalent atoms are Rh at (0.000, 0.500, 0.250), S at (0.144, 0.356, 0.000) and Br at (0.000, 0.000, 0.250).



Order from most stable to least stable according to the calculation: #B, #C, #A